[1]
VASP calculation (PBE) on crystalline Sr2LiCaZn at its relaxed geometry.

Unit cell a=6.119 b=6.119 c=5.860 alpha=90.00 beta=90.00 gamma=90.00
Element x y z (fractional)
Sr (0.000, 0.500, 0.000)
Sr (0.500, 0.000, 0.000)
Li (0.000, 0.000, 0.500)
Ca (0.500, 0.500, 0.500)
Zn (0.500, 0.500, 0.000)

Total magnetization: 0.00 μB per formula unit
Distance to the lowest polymorph of the same formula: 16 meV per atom
Calculated formation energy: 0.072 eV/atom
Energy: -8.2 eV/f.u.


[2]
VASP calculation (PBE) on crystalline RbGaBr2 at its relaxed geometry.

Unit cell a=8.402 b=8.402 c=8.402 alpha=32.07 beta=32.07 gamma=32.07
Element x y z (fractional)
Rb (0.000, 0.000, 0.000)
Ga (0.168, 0.168, 0.168)
Br (0.575, 0.575, 0.575)
Br (0.759, 0.759, 0.759)

Formation energy (no corrections): -1.103 eV/atom
Total magnetization: 0.00 μB per formula unit
Distance to the lowest polymorph of the same formula: 1 meV per atom
Energy: -11.8 eV/f.u.


[3]
VASP calculation (PBE) on crystalline CaRhPb2 at its relaxed geometry.

Unit cell a=5.699 b=5.699 c=5.699 alpha=133.38 beta=133.38 gamma=68.05
Element x y z (fractional)
Ca (0.000, 0.000, 0.000)
Rh (0.750, 0.250, 0.500)
Pb (0.250, 0.750, 0.500)
Pb (0.500, 0.500, 0.000)

Total magnetization: 0.00 μB per formula unit
Calculated formation energy: -0.114 eV/atom
Energy: -17.2 eV/f.u.